Er4ScIn2 | PBE | relaxed

Unit cell a=5.607 b=5.607 c=7.644 alpha=111.53 beta=111.53 gamma=89.99
Atoms (fractional coordinates):
Er 0.750 0.250 0.500
Er 0.250 0.750 0.500
Er 0.500 0.000 0.000
Er 0.000 0.500 0.000
Sc 0.000 0.000 0.000
In 0.625 0.625 0.249
In 0.375 0.375 0.751

Properties
formation enthalpy at 0 K: 0.19 eV per atom
DFT total energy: -28.76 eV/f.u.
calculated density: 7.627 g cm⁻³